(1)
La3PrNd5 (PBE, relaxed); total DFT energy (no corrections) = -4.455 eV/atom; crystal system = monoclinic; SG = C2/m, No. 12
1.0
6.1135 -4.3671 0.0000
6.1135 4.3671 0.0000
-3.4560 0.0000 12.8897
La Pr Nd
6 2 10
direct
0.0000 0.0000 0.0000 La
0.0000 0.0000 0.5000 La
0.2758 0.2758 0.5524 La
0.4393 0.4393 0.7918 La
0.5607 0.5607 0.2082 La
0.7242 0.7242 0.4476 La
0.1230 0.1230 0.2679 Pr
0.8770 0.8770 0.7321 Pr
0.0276 0.6480 0.2197 Nd
0.2655 0.2655 0.0408 Nd
0.3149 0.6851 0.0000 Nd
0.3520 0.9724 0.7803 Nd
0.4233 0.4233 0.3819 Nd
0.5767 0.5767 0.6181 Nd
0.6480 0.0276 0.2197 Nd
0.6851 0.3149 0.0000 Nd
0.7345 0.7345 0.9592 Nd
0.9724 0.3520 0.7803 Nd



(2)
Na2MgIn5 (PBE, relaxed); energy relative to the lowest polymorph listed for this composition = 4.90 kcal/mol of atoms; total DFT energy (no corrections) = -2.115 eV/atom; crystal system = tetragonal; SG = P4/mmm, No. 123
1.0
6.9812 0.0000 0.0000
0.0000 6.9812 0.0000
0.0000 0.0000 5.3547
Na Mg In
2 1 5
direct
0.0000 0.5000 0.0000 Na
0.5000 0.0000 0.0000 Na
0.0000 0.0000 0.5000 Mg
0.0000 0.0000 0.0000 In
0.2875 0.2875 0.5000 In
0.2875 0.7125 0.5000 In
0.7125 0.2875 0.5000 In
0.7125 0.7125 0.5000 In



(3)
ScMnAu (PBE, relaxed); total DFT energy (no corrections) = -6.342 eV/atom; crystal system = cubic; SG = F-43m, No. 216
1.0
6.3812 0.0000 0.0000
0.0000 6.3812 0.0000
0.0000 0.0000 6.3812
Sc Mn Au
4 4 4
direct
0.0000 0.0000 0.0000 Sc
0.0000 0.5000 0.5000 Sc
0.5000 0.0000 0.5000 Sc
0.5000 0.5000 0.0000 Sc
0.0000 0.0000 0.5000 Mn
0.0000 0.5000 0.0000 Mn
0.5000 0.0000 0.0000 Mn
0.5000 0.5000 0.5000 Mn
0.2500 0.2500 0.7500 Au
0.2500 0.7500 0.2500 Au
0.7500 0.2500 0.2500 Au
0.7500 0.7500 0.7500 Au



Density values, unit g/cm³, following the record order: 6.17; 4.10; 7.59.
ΔE_f values, unit kcal/mol of atoms, following the record order: 8.48; 2.89; -1.90.